First-principles (GGA-PBE) data for a geometry-optimized PmTmRhI structure, as listed in the Alexandria database.

It has space group R3m (No. 160, hexagonal axes), with a = 4.0853 Å, b = 4.0853 Å, c = 23.9865 Å, α = 90.00°, β = 90.00° and γ = 120.00°. The inequivalent atoms are Pm at (0.0000, 0.0000, 0.0000), Tm at (0.0000, 0.0000, 0.2120), Rh at (0.0000, 0.0000, 0.6024) and I at (0.0000, 0.0000, 0.7748).

As for the density of states at the Fermi level: 0.5 states/eV/cell. Its calculated density is 7.813 g cm⁻³. The calculation puts the total energy at -5.46 eV/atom. The total magnetization is 0.00 Bohr magnetons per cell.